Computed, not measured: a relaxed structure of NdCu5 at the PBE-GGA level of DFT.

For the total energy, the calculation gives -50.00 eV/cell. As for the formation energy: 0.04 eV/atom.

The space group is Cmmm (No. 65) and the conventional cell measures 4.838, 9.026 and 4.395 Å, with angles of 90.00, 90.00 and 90.00 degrees. The distinct sites, in fractional coordinates, are Nd at (0.000, 0.000, 0.000), Cu at (0.000, 0.223, 0.500), Cu at (0.000, 0.339, 0.000) and Cu at (0.000, 0.500, 0.500).